DFT (PBE-GGA) results for crystalline Y4BeCl5 at its relaxed geometry.

```
Y4BeCl5
1.0
8.779 -1.897 0.000
8.779 1.897 0.000
-1.858 0.000 7.943
Y Be Cl
4 1 5
Direct
0.000 0.000 0.231 Y
0.000 0.000 0.769 Y
0.348 0.348 0.915 Y
0.652 0.652 0.085 Y
0.500 0.500 0.000 Be
0.166 0.166 0.332 Cl
0.175 0.175 0.847 Cl
0.500 0.500 0.500 Cl
0.825 0.825 0.153 Cl
0.834 0.834 0.668 Cl
```

Output
Raw formation energy (eV/atom): -1.528
Space-group type: C2/m
Final energy (eV per atom): -5.410

---

DFT (PBE-GGA) results for crystalline YBeCl2 at its relaxed geometry.

```
YBeCl2
1.0
4.000 0.000 0.000
0.000 4.489 0.000
-0.020 0.000 5.205
Y Be Cl
1 1 2
Direct
0.000 0.000 0.000 Y
0.500 0.000 0.500 Be
0.225 0.500 0.754 Cl
0.775 0.500 0.246 Cl
```

Output
Raw formation energy (eV/atom): -0.551
Space-group type: P2/m
Final energy (eV per atom): -4.022
Relative energy among the computed polymorphs (eV per atom): 0.4028

---

DFT (PBE-GGA) results for crystalline YBeCl2 at its relaxed geometry.

```
YBeCl2
1.0
-2.874 2.874 5.322
2.874 -2.874 5.322
2.874 2.874 -5.322
Y Be Cl
2 2 4
Direct
0.000 0.000 0.000 Y
0.750 0.250 0.500 Y
0.250 0.750 0.500 Be
0.500 0.500 0.000 Be
0.229 0.625 0.104 Cl
0.375 0.479 0.604 Cl
0.521 0.125 0.896 Cl
0.875 0.771 0.396 Cl
```

Output
Raw formation energy (eV/atom): -0.270
Space-group type: I-42d
Final energy (eV per atom): -3.741
Relative energy among the computed polymorphs (eV per atom): 0.6841

---

DFT (PBE-GGA) results for crystalline YBe2Cl at its relaxed geometry.

```
YBe2Cl
1.0
3.332 -1.838 0.000
3.332 1.838 0.000
-0.090 0.000 6.192
Y Be Cl
1 2 1
Direct
0.000 0.000 0.000 Y
0.335 0.335 0.271 Be
0.660 0.660 0.328 Be
0.668 0.668 0.703 Cl
```

Output
Raw formation energy (eV/atom): -0.308
Space-group type: Cm
Final energy (eV per atom): -4.249
Relative energy among the computed polymorphs (eV per atom): 0.0000

---

DFT (PBE-GGA) results for crystalline YBeCl2 at its relaxed geometry.

```
YBeCl2
1.0
1.716 0.991 8.342
-1.716 0.991 8.342
0.000 -1.981 8.342
Y Be Cl
1 1 2
Direct
0.000 0.000 0.000 Y
0.500 0.500 0.500 Be
0.411 0.411 0.411 Cl
0.589 0.589 0.589 Cl
```

Output
Raw formation energy (eV/atom): -0.628
Space-group type: R-3m
Final energy (eV per atom): -4.099
Relative energy among the computed polymorphs (eV per atom): 0.3257

---

DFT (PBE-GGA) results for crystalline YBeCl2 at its relaxed geometry.

```
YBeCl2
1.0
3.324 0.000 0.000
0.000 3.324 0.000
0.000 0.000 8.195
Y Be Cl
1 1 2
Direct
0.000 0.000 0.000 Y
0.500 0.500 0.233 Be
0.000 0.000 0.350 Cl
0.500 0.500 0.797 Cl
```

Output
Raw formation energy (eV/atom): -0.792
Space-group type: P4mm
Final energy (eV per atom): -4.263
Relative energy among the computed polymorphs (eV per atom): 0.1620

---

What is the raw formation energy in the third record? -0.270 eV/atom

---

Which value of final energy does entry 2 give? -4.022 eV per atom

---

Which value of final energy does entry 5 give? -4.099 eV per atom

---

Among the records above, which one has the highest raw formation energy? number 3